Compound: MgSbAu2
Source: Alexandria
Functional: GGA-PBE
Structure: optimized geometry

```
data_MgSbAu2
_chemical_formula_sum 'Mg1 Sb1 Au2'
_cell_length_a 3.4070
_cell_length_b 3.5841
_cell_length_c 6.6624
_cell_angle_alpha 90.00
_cell_angle_beta 90.00
_cell_angle_gamma 90.00
_space_group_name_H-M_alt 'P 1'
_space_group_IT_number 1
_space_group_name_Hall 'P 1'
loop_
_atom_site_label
_atom_site_type_symbol
_atom_site_fract_x
_atom_site_fract_y
_atom_site_fract_z
_atom_site_occupancy
Mg1 Mg 0.0000 0.0000 0.0000 1
Sb1 Sb 0.0000 0.0000 0.5000 1
Au1 Au 0.5000 0.5000 0.2171 1
Au2 Au 0.5000 0.5000 0.7829 1
```

ΔE_f (raw), meV/atom: -273
Mass density, g/cm³: 11.0
Crystal system: orthorhombic
VASP energy, eV per atom: -3.34
DOS at the Fermi energy, states/eV per atom: 0.2538


Compound: Mg2SbAu
Source: Alexandria
Functional: GGA-PBE
Structure: optimized geometry

```
data_Mg2SbAu
_chemical_formula_sum 'Mg8 Sb4 Au4'
_cell_length_a 5.9300
_cell_length_b 5.9300
_cell_length_c 14.1904
_cell_angle_alpha 90.00
_cell_angle_beta 90.00
_cell_angle_gamma 90.00
_space_group_name_H-M_alt 'P 1'
_space_group_IT_number 1
_space_group_name_Hall 'P 1'
loop_
_atom_site_label
_atom_site_type_symbol
_atom_site_fract_x
_atom_site_fract_y
_atom_site_fract_z
_atom_site_occupancy
Mg1 Mg 0.2420 0.2500 0.1250 1
Mg2 Mg 0.2500 0.7420 0.3750 1
Mg3 Mg 0.2500 0.7580 0.8750 1
Mg4 Mg 0.2580 0.2500 0.6250 1
Mg5 Mg 0.7420 0.7500 0.6250 1
Mg6 Mg 0.7500 0.2420 0.8750 1
Mg7 Mg 0.7500 0.2580 0.3750 1
Mg8 Mg 0.7580 0.7500 0.1250 1
Sb1 Sb 0.0000 0.0000 0.5000 1
Sb2 Sb 0.0000 0.5000 0.7500 1
Sb3 Sb 0.5000 0.0000 0.2500 1
Sb4 Sb 0.5000 0.5000 0.0000 1
Au1 Au 0.0000 0.0000 0.0000 1
Au2 Au 0.0000 0.5000 0.2500 1
Au3 Au 0.5000 0.0000 0.7500 1
Au4 Au 0.5000 0.5000 0.5000 1
```

ΔE_f (raw), meV/atom: -103
Mass density, g/cm³: 4.9
Crystal system: tetragonal
VASP energy, eV per atom: -2.75
DOS at the Fermi energy, states/eV per atom: 0.0000


Compound: MgSbAu
Source: Alexandria
Functional: GGA-PBE
Structure: optimized geometry

```
data_MgSbAu
_chemical_formula_sum 'Mg2 Sb2 Au2'
_cell_length_a 5.1783
_cell_length_b 5.1783
_cell_length_c 5.7289
_cell_angle_alpha 90.00
_cell_angle_beta 90.00
_cell_angle_gamma 120.00
_space_group_name_H-M_alt 'P 1'
_space_group_IT_number 1
_space_group_name_Hall 'P 1'
loop_
_atom_site_label
_atom_site_type_symbol
_atom_site_fract_x
_atom_site_fract_y
_atom_site_fract_z
_atom_site_occupancy
Mg1 Mg 0.3333 0.6667 0.2500 1
Mg2 Mg 0.6667 0.3333 0.7500 1
Sb1 Sb 0.3333 0.6667 0.7500 1
Sb2 Sb 0.6667 0.3333 0.2500 1
Au1 Au 0.0000 0.0000 0.0000 1
Au2 Au 0.0000 0.0000 0.5000 1
```

ΔE_f (raw), meV/atom: -25
Mass density, g/cm³: 8.6
Crystal system: hexagonal
VASP energy, eV per atom: -3.02
DOS at the Fermi energy, states/eV per atom: 0.3192


Compound: MgSb2Au
Source: Alexandria
Functional: GGA-PBE
Structure: optimized geometry

```
data_MgSb2Au
_chemical_formula_sum 'Mg1 Sb2 Au1'
_cell_length_a 3.2616
_cell_length_b 3.2616
_cell_length_c 8.7813
_cell_angle_alpha 90.00
_cell_angle_beta 90.00
_cell_angle_gamma 90.00
_space_group_name_H-M_alt 'P 1'
_space_group_IT_number 1
_space_group_name_Hall 'P 1'
loop_
_atom_site_label
_atom_site_type_symbol
_atom_site_fract_x
_atom_site_fract_y
_atom_site_fract_z
_atom_site_occupancy
Mg1 Mg 0.0000 0.0000 0.0000 1
Sb1 Sb 0.0000 0.0000 0.5807 1
Sb2 Sb 0.5000 0.5000 0.2557 1
Au1 Au 0.5000 0.5000 0.8188 1
```

ΔE_f (raw), meV/atom: -113
Mass density, g/cm³: 8.3
Crystal system: tetragonal
VASP energy, eV per atom: -3.39
DOS at the Fermi energy, states/eV per atom: 0.5375


Compound: MgSb2Au
Source: Alexandria
Functional: GGA-PBE
Structure: optimized geometry

```
data_MgSb2Au
_chemical_formula_sum 'Mg2 Sb4 Au2'
_cell_length_a 6.9367
_cell_length_b 8.0405
_cell_length_c 3.3138
_cell_angle_alpha 90.00
_cell_angle_beta 90.00
_cell_angle_gamma 90.00
_space_group_name_H-M_alt 'P 1'
_space_group_IT_number 1
_space_group_name_Hall 'P 1'
loop_
_atom_site_label
_atom_site_type_symbol
_atom_site_fract_x
_atom_site_fract_y
_atom_site_fract_z
_atom_site_occupancy
Mg1 Mg 0.0000 0.0000 0.0000 1
Mg2 Mg 0.5000 0.5000 0.0000 1
Sb1 Sb 0.2500 0.2500 0.5000 1
Sb2 Sb 0.2500 0.7500 0.5000 1
Sb3 Sb 0.7500 0.2500 0.5000 1
Sb4 Sb 0.7500 0.7500 0.5000 1
Au1 Au 0.0000 0.5000 0.0000 1
Au2 Au 0.5000 0.0000 0.0000 1
```

ΔE_f (raw), meV/atom: -25
Mass density, g/cm³: 8.4
Crystal system: orthorhombic
VASP energy, eV per atom: -3.30
DOS at the Fermi energy, states/eV per atom: 0.5120


Compound: Mg2SbAu
Source: Alexandria
Functional: GGA-PBE
Structure: optimized geometry

```
data_Mg2SbAu
_chemical_formula_sum 'Mg6 Sb3 Au3'
_cell_length_a 3.8896
_cell_length_b 3.8896
_cell_length_c 21.5770
_cell_angle_alpha 90.00
_cell_angle_beta 90.00
_cell_angle_gamma 120.00
_space_group_name_H-M_alt 'P 1'
_space_group_IT_number 1
_space_group_name_Hall 'P 1'
loop_
_atom_site_label
_atom_site_type_symbol
_atom_site_fract_x
_atom_site_fract_y
_atom_site_fract_z
_atom_site_occupancy
Mg1 Mg 0.0000 0.0000 0.0000 1
Mg2 Mg 0.0000 0.0000 0.1894 1
Mg3 Mg 0.3333 0.6667 0.6667 1
Mg4 Mg 0.3333 0.6667 0.8561 1
Mg5 Mg 0.6667 0.3333 0.3333 1
Mg6 Mg 0.6667 0.3333 0.5228 1
Sb1 Sb 0.0000 0.0000 0.7597 1
Sb2 Sb 0.3333 0.6667 0.4263 1
Sb3 Sb 0.6667 0.3333 0.0930 1
Au1 Au 0.0000 0.0000 0.5955 1
Au2 Au 0.3333 0.6667 0.2622 1
Au3 Au 0.6667 0.3333 0.9288 1
```

ΔE_f (raw), meV/atom: -265
Mass density, g/cm³: 6.5
Crystal system: trigonal
VASP energy, eV per atom: -2.91
DOS at the Fermi energy, states/eV per atom: 0.3531


Compound: MgSbAu
Source: Alexandria
Functional: GGA-PBE
Structure: optimized geometry

```
data_MgSbAu
_chemical_formula_sum 'Mg1 Sb1 Au1'
_cell_length_a 3.4915
_cell_length_b 3.4915
_cell_length_c 6.4636
_cell_angle_alpha 90.00
_cell_angle_beta 90.00
_cell_angle_gamma 120.00
_space_group_name_H-M_alt 'P 1'
_space_group_IT_number 1
_space_group_name_Hall 'P 1'
loop_
_atom_site_label
_atom_site_type_symbol
_atom_site_fract_x
_atom_site_fract_y
_atom_site_fract_z
_atom_site_occupancy
Mg1 Mg 0.0000 0.0000 0.0000 1
Sb1 Sb 0.6667 0.3333 0.3813 1
Au1 Au 0.3333 0.6667 0.7196 1
```

ΔE_f (raw), meV/atom: -170
Mass density, g/cm³: 8.3
Crystal system: trigonal
VASP energy, eV per atom: -3.17
DOS at the Fermi energy, states/eV per atom: 0.6234


Compound: MgSbAu6
Source: Alexandria
Functional: GGA-PBE
Structure: optimized geometry

```
data_MgSbAu6
_chemical_formula_sum 'Mg1 Sb1 Au6'
_cell_length_a 4.2160
_cell_length_b 4.2160
_cell_length_c 8.5147
_cell_angle_alpha 90.00
_cell_angle_beta 90.00
_cell_angle_gamma 90.00
_space_group_name_H-M_alt 'P 1'
_space_group_IT_number 1
_space_group_name_Hall 'P 1'
loop_
_atom_site_label
_atom_site_type_symbol
_atom_site_fract_x
_atom_site_fract_y
_atom_site_fract_z
_atom_site_occupancy
Mg1 Mg 0.0000 0.0000 0.0000 1
Sb1 Sb 0.0000 0.0000 0.5000 1
Au1 Au 0.0000 0.5000 0.2373 1
Au2 Au 0.0000 0.5000 0.7627 1
Au3 Au 0.5000 0.0000 0.2373 1
Au4 Au 0.5000 0.0000 0.7627 1
Au5 Au 0.5000 0.5000 0.0000 1
Au6 Au 0.5000 0.5000 0.5000 1
```

ΔE_f (raw), meV/atom: -167
Mass density, g/cm³: 14.6
Crystal system: tetragonal
VASP energy, eV per atom: -3.34
DOS at the Fermi energy, states/eV per atom: 0.3005


Compound: MgSbAu2
Source: Alexandria
Functional: GGA-PBE
Structure: optimized geometry

```
data_MgSbAu2
_chemical_formula_sum 'Mg1 Sb1 Au2'
_cell_length_a 3.7080
_cell_length_b 4.2550
_cell_length_c 5.6684
_cell_angle_alpha 90.00
_cell_angle_beta 108.64
_cell_angle_gamma 90.00
_space_group_name_H-M_alt 'P 1'
_space_group_IT_number 1
_space_group_name_Hall 'P 1'
loop_
_atom_site_label
_atom_site_type_symbol
_atom_site_fract_x
_atom_site_fract_y
_atom_site_fract_z
_atom_site_occupancy
Mg1 Mg 0.0000 0.0000 0.0000 1
Sb1 Sb 0.7046 0.5000 0.4155 1
Au1 Au 0.2625 0.0000 0.5369 1
Au2 Au 0.4527 0.5000 0.9016 1
```

ΔE_f (raw), meV/atom: -285
Mass density, g/cm³: 10.6
Crystal system: monoclinic
VASP energy, eV per atom: -3.35
DOS at the Fermi energy, states/eV per atom: 0.1874


Compound: MgSbAu
Source: Alexandria
Functional: GGA-PBE
Structure: optimized geometry

```
data_MgSbAu
_chemical_formula_sum 'Mg2 Sb2 Au2'
_cell_length_a 4.5854
_cell_length_b 5.0388
_cell_length_c 7.1397
_cell_angle_alpha 85.41
_cell_angle_beta 79.96
_cell_angle_gamma 63.03
_space_group_name_H-M_alt 'P 1'
_space_group_IT_number 1
_space_group_name_Hall 'P 1'
loop_
_atom_site_label
_atom_site_type_symbol
_atom_site_fract_x
_atom_site_fract_y
_atom_site_fract_z
_atom_site_occupancy
Mg1 Mg 0.0000 0.0000 0.0000 1
Mg2 Mg 0.1775 0.6442 0.5004 1
Sb1 Sb 0.4748 0.0250 0.3457 1
Sb2 Sb 0.6768 0.6200 0.8459 1
Au1 Au 0.6539 0.1623 0.6705 1
Au2 Au 0.9934 0.4821 0.1708 1
```

ΔE_f (raw), meV/atom: -256
Mass density, g/cm³: 7.9
Crystal system: triclinic
VASP energy, eV per atom: -3.25
DOS at the Fermi energy, states/eV per atom: 0.0595


Compound: MgSb2Au
Source: Alexandria
Functional: GGA-PBE
Structure: optimized geometry

```
data_MgSb2Au
_chemical_formula_sum 'Mg2 Sb4 Au2'
_cell_length_a 4.2744
_cell_length_b 5.2946
_cell_length_c 8.4017
_cell_angle_alpha 90.00
_cell_angle_beta 90.00
_cell_angle_gamma 90.00
_space_group_name_H-M_alt 'P 1'
_space_group_IT_number 1
_space_group_name_Hall 'P 1'
loop_
_atom_site_label
_atom_site_type_symbol
_atom_site_fract_x
_atom_site_fract_y
_atom_site_fract_z
_atom_site_occupancy
Mg1 Mg 0.0000 0.0000 0.0000 1
Mg2 Mg 0.5000 0.5000 0.0000 1
Sb1 Sb 0.0000 0.5000 0.2606 1
Sb2 Sb 0.0000 0.5000 0.7394 1
Sb3 Sb 0.5000 0.0000 0.2606 1
Sb4 Sb 0.5000 0.0000 0.7394 1
Au1 Au 0.0000 0.0000 0.5000 1
Au2 Au 0.5000 0.5000 0.5000 1
```

ΔE_f (raw), meV/atom: 23
Mass density, g/cm³: 8.1
Crystal system: orthorhombic
VASP energy, eV per atom: -3.26
DOS at the Fermi energy, states/eV per atom: 0.3927


Compound: Mg2SbAu2
Source: Alexandria
Functional: GGA-PBE
Structure: optimized geometry

```
data_Mg2SbAu2
_chemical_formula_sum 'Mg4 Sb2 Au4'
_cell_length_a 7.9403
_cell_length_b 7.9403
_cell_length_c 3.2965
_cell_angle_alpha 90.00
_cell_angle_beta 90.00
_cell_angle_gamma 90.00
_space_group_name_H-M_alt 'P 1'
_space_group_IT_number 1
_space_group_name_Hall 'P 1'
loop_
_atom_site_label
_atom_site_type_symbol
_atom_site_fract_x
_atom_site_fract_y
_atom_site_fract_z
_atom_site_occupancy
Mg1 Mg 0.1507 0.3493 0.0000 1
Mg2 Mg 0.3493 0.8493 0.0000 1
Mg3 Mg 0.6507 0.1507 0.0000 1
Mg4 Mg 0.8493 0.6507 0.0000 1
Sb1 Sb 0.0000 0.0000 0.0000 1
Sb2 Sb 0.5000 0.5000 0.0000 1
Au1 Au 0.1383 0.6383 0.5000 1
Au2 Au 0.3617 0.1383 0.5000 1
Au3 Au 0.6383 0.8617 0.5000 1
Au4 Au 0.8617 0.3617 0.5000 1
```

ΔE_f (raw), meV/atom: -307
Mass density, g/cm³: 9.0
Crystal system: tetragonal
VASP energy, eV per atom: -3.08
DOS at the Fermi energy, states/eV per atom: 0.5607


Which of these has the highest DOS at the Fermi energy?
number 7


Repeat the third record exactly.
Compound: MgSbAu
Source: Alexandria
Functional: GGA-PBE
Structure: optimized geometry

```
data_MgSbAu
_chemical_formula_sum 'Mg2 Sb2 Au2'
_cell_length_a 5.1783
_cell_length_b 5.1783
_cell_length_c 5.7289
_cell_angle_alpha 90.00
_cell_angle_beta 90.00
_cell_angle_gamma 120.00
_space_group_name_H-M_alt 'P 1'
_space_group_IT_number 1
_space_group_name_Hall 'P 1'
loop_
_atom_site_label
_atom_site_type_symbol
_atom_site_fract_x
_atom_site_fract_y
_atom_site_fract_z
_atom_site_occupancy
Mg1 Mg 0.3333 0.6667 0.2500 1
Mg2 Mg 0.6667 0.3333 0.7500 1
Sb1 Sb 0.3333 0.6667 0.7500 1
Sb2 Sb 0.6667 0.3333 0.2500 1
Au1 Au 0.0000 0.0000 0.0000 1
Au2 Au 0.0000 0.0000 0.5000 1
```

ΔE_f (raw), meV/atom: -25
Mass density, g/cm³: 8.6
Crystal system: hexagonal
VASP energy, eV per atom: -3.02
DOS at the Fermi energy, states/eV per atom: 0.3192